# LiNiTe2 (PBE, optimized geometry)
data_LiNiTe2
_space_group_name_H-M_alt 'C 1 2/m 1'
_space_group_IT_number 12
_cell_length_a 6.578
_cell_length_b 3.806
_cell_length_c 7.274
_cell_angle_alpha 90.00
_cell_angle_beta 107.76
_cell_angle_gamma 90.00
loop_
_space_group_symop_operation_xyz
'x,y,z'
'-x,-y,-z'
'-x,y,-z'
'x,-y,z'
'x+1/2,y+1/2,z'
'-x+1/2,-y+1/2,-z'
'-x+1/2,y+1/2,-z'
'x+1/2,-y+1/2,z'
loop_
_atom_site_label
_atom_site_fract_x
_atom_site_fract_y
_atom_site_fract_z
Li1 0.000 0.000 0.000
Ni1 0.000 0.500 0.500
Te1 0.236 0.000 0.708
# Magnetic moment   0.0 μB per formula unit
# Raw formation energy   -0.37 eV/atom
# DFT total energy   -0.2844 Ry/atom
# DOS(E_F)   5.3 states/eV per cell



# TcAs2BrCl (PBE, optimized geometry)
data_TcAs2BrCl
_space_group_name_H-M_alt 'P 4/m m m'
_space_group_IT_number 123
_space_group_name_Hall '-P 4 2'
_cell_length_a 4.800
_cell_length_b 4.800
_cell_length_c 5.154
_cell_angle_alpha 90.00
_cell_angle_beta 90.00
_cell_angle_gamma 90.00
loop_
_atom_site_label
_atom_site_fract_x
_atom_site_fract_y
_atom_site_fract_z
Tc1 0.000 0.000 0.000
As1 0.000 0.500 0.000
Br1 0.000 0.000 0.500
Cl1 0.500 0.500 0.500
# Magnetic moment   0.0 μB per formula unit
# Relative energy among the computed polymorphs   0 meV per atom
# Raw formation energy   0.27 eV/atom
# DFT total energy   -0.3208 Ry/atom
# DOS(E_F)   5.3 states/eV per cell



# RbNaSnAs2 (PBE, optimized geometry)
data_RbNaSnAs2
_space_group_name_H-M_alt 'C 1 2/m 1'
_space_group_IT_number 12
_cell_length_a 15.357
_cell_length_b 4.451
_cell_length_c 10.195
_cell_angle_alpha 90.00
_cell_angle_beta 98.83
_cell_angle_gamma 90.00
loop_
_space_group_symop_operation_xyz
'x,y,z'
'-x,-y,-z'
'-x,y,-z'
'x,-y,z'
'x+1/2,y+1/2,z'
'-x+1/2,-y+1/2,-z'
'-x+1/2,y+1/2,-z'
'x+1/2,-y+1/2,z'
loop_
_atom_site_label
_atom_site_fract_x
_atom_site_fract_y
_atom_site_fract_z
Rb1 0.129 0.000 0.164
Na1 0.195 0.000 0.579
Sn1 0.055 0.500 0.669
As1 0.111 0.000 0.816
As2 0.115 0.500 0.431
# Magnetic moment   0.0 μB per formula unit
# DFT total energy   -0.2527 Ry/atom
# DOS(E_F)   3.7 states/eV per cell



# Cs2RbIn (PBE, optimized geometry)
data_Cs2RbIn
_space_group_name_H-M_alt 'R -3 m'
_space_group_IT_number 166
_space_group_name_Hall '-R 3 2"'
_cell_length_a 4.6875
_cell_length_b 4.6875
_cell_length_c 49.2069
_cell_angle_alpha 90.00
_cell_angle_beta 90.00
_cell_angle_gamma 120.00
loop_
_atom_site_label
_atom_site_fract_x
_atom_site_fract_y
_atom_site_fract_z
Cs1 0.0000 0.0000 0.0765
Rb1 0.0000 0.0000 0.5000
In1 0.0000 0.0000 0.0000
# Magnetic moment   0.0 μB per formula unit
# Relative energy among the computed polymorphs   221 meV per atom
# DFT total energy   -0.0780 Ry/atom
# DOS(E_F)   15.0 states/eV per cell